Entry 1:
Material: Al2ReSe
Method: DFT, GGA-PBE
State: relaxed

Cell and atoms, written as CIF:
```
data_Al2ReSe
_cell_length_a 5.8732
_cell_length_b 7.5537
_cell_length_c 2.8496
_cell_angle_alpha 90.00
_cell_angle_beta 90.18
_cell_angle_gamma 90.00
_symmetry_space_group_name_H-M 'C 1 2/m 1'
_symmetry_Int_Tables_number 12
loop_
_symmetry_equiv_pos_as_xyz
'x,y,z'
'-x,-y,-z'
'-x,y,-z'
'x,-y,z'
'x+1/2,y+1/2,z'
'-x+1/2,-y+1/2,-z'
'-x+1/2,y+1/2,-z'
'x+1/2,-y+1/2,z'
loop_
_atom_site_label
_atom_site_type_symbol
_atom_site_fract_x
_atom_site_fract_y
_atom_site_fract_z
_atom_site_occupancy
Al1 Al 0.2500 0.2500 0.0000 1
Re1 Re 0.0000 0.0000 0.5000 1
Se1 Se 0.0000 0.5000 0.5000 1
```

Properties
* crystal system: monoclinic
* E_form (uncorrected): 0.419 eV per formula unit
* size of the total moment: 0.0000 μB per atom

Entry 2:
Material: KAs3
Method: DFT, GGA-PBE
State: relaxed

Cell and atoms, written as CIF:
```
data_KAs3
_cell_length_a 2.9851
_cell_length_b 5.1936
_cell_length_c 6.1771
_cell_angle_alpha 90.00
_cell_angle_beta 90.00
_cell_angle_gamma 90.00
_symmetry_space_group_name_H-M 'P m m m'
_symmetry_Int_Tables_number 47
loop_
_symmetry_equiv_pos_as_xyz
'x,y,z'
'-x,-y,-z'
'-x,-y,z'
'x,y,-z'
'x,-y,-z'
'-x,y,z'
'-x,y,-z'
'x,-y,z'
loop_
_atom_site_label
_atom_site_type_symbol
_atom_site_fract_x
_atom_site_fract_y
_atom_site_fract_z
_atom_site_occupancy
K1 K 0.0000 0.0000 0.0000 1
As1 As 0.5000 0.0000 0.5000 1
As2 As 0.5000 0.5000 0.3033 1
```

Properties
* crystal system: orthorhombic
* ΔE to the lowest computed polymorph: 53 meV/atom
* ΔE_f: -0.0706 eV/atom
* size of the total moment: 0.0000 μB per atom

- Which value of size of the total moment does entry 1 give?
  0.0000 μB per atom